Entry 1:
Compound: La6Os2BrCl3
Source: Alexandria
Functional: PBE-GGA
Structure: relaxed

a = 4.227 Å, b = 8.981 Å, c = 9.677 Å
α = 102.58°, β = 102.61°, γ = 90.00°
Element x y z (fractional)
La (0.325, 0.437, 0.651)
La (0.679, 0.132, 0.357)
Br (0.500, 0.000, 0.000)
Cl (0.500, 0.500, 0.000)
La (0.675, 0.563, 0.349)
Cl (0.151, 0.837, 0.302)
La (0.978, 0.726, 0.955)
La (0.321, 0.868, 0.643)
La (0.022, 0.274, 0.045)
Os (0.832, 0.665, 0.663)
Os (0.168, 0.335, 0.337)
Cl (0.849, 0.163, 0.698)

## Properties
* E_form (uncorrected): -13.43 eV/f.u.
* V: 29.119 Å³/atom
* energy: -72.67 eV/f.u.

=====

Entry 2:
Compound: LaPBrCl2
Source: Alexandria
Functional: PBE-GGA
Structure: relaxed

a = 5.404 Å, b = 5.404 Å, c = 6.262 Å
α = 90.00°, β = 90.00°, γ = 90.00°
Each line ends with the local moment (μB).
Element x y z (fractional)
La (0.000, 0.000, 0.000)  0.02
Cl (0.000, 0.500, 0.000)  0.01
P (0.000, 0.000, 0.500)  0.64
Br (0.500, 0.500, 0.500)  -0.15
Cl (0.500, 0.000, 0.000)  0.01

## Properties
* offset from the most stable computed form: 0 kJ/mol of formula units
* E_form (uncorrected): -4.21 eV/f.u.
* V: 36.575 Å³/atom
* energy: -19.91 eV/f.u.

=====

Entry 3:
Compound: La8P3Br4Cl
Source: Alexandria
Functional: PBE-GGA
Structure: relaxed

a = 8.463 Å, b = 8.801 Å, c = 8.464 Å
α = 118.75°, β = 119.99°, γ = 90.00°
Element x y z (fractional)
La (0.760, 0.289, 0.029)
Cl (0.000, 0.500, 0.000)
La (0.240, 0.711, 0.971)
Br (0.500, 0.000, 0.500)
Br (0.000, 0.000, 0.000)
La (0.269, 0.289, 0.029)
La (0.737, 0.710, 0.473)
La (0.240, 0.711, 0.480)
P (0.500, 0.500, 0.000)
La (0.760, 0.289, 0.520)
Br (0.500, 0.000, 0.000)
Br (0.000, 0.000, 0.500)
La (0.731, 0.711, 0.971)
P (0.000, 0.500, 0.500)
P (0.500, 0.500, 0.500)
La (0.263, 0.290, 0.527)

## Properties
* E_form (uncorrected): -24.86 eV/f.u.
* V: 28.379 Å³/atom
* energy: -89.05 eV/f.u.

=====

Entry 4:
Compound: La4P2BrCl
Source: Alexandria
Functional: PBE-GGA
Structure: relaxed

a = 6.011 Å, b = 6.011 Å, c = 7.337 Å
α = 114.22°, β = 114.22°, γ = 89.92°
Element x y z (fractional)
Cl (0.437, 0.437, 0.000)
Br (0.937, 0.937, 0.000)
P (0.687, 0.187, 0.500)
La (0.938, 0.437, 0.000)
La (0.683, 0.683, 0.491)
P (0.187, 0.687, 0.500)
La (0.192, 0.192, 0.509)
La (0.437, 0.938, 0.000)

## Properties
* E_form (uncorrected): -12.48 eV/f.u.
* V: 27.005 Å³/atom
* energy: -46.53 eV/f.u.

=====

Entry 5:
Compound: La6P3BrCl2
Source: Alexandria
Functional: PBE-GGA
Structure: relaxed

a = 4.238 Å, b = 8.657 Å, c = 9.639 Å
α = 104.72°, β = 102.70°, γ = 90.00°
Element x y z (fractional)
P (0.500, 0.500, 0.000)
La (0.325, 0.934, 0.649)
Cl (0.832, 0.665, 0.664)
La (0.341, 0.399, 0.682)
P (0.834, 0.167, 0.668)
La (0.659, 0.601, 0.318)
La (0.675, 0.066, 0.351)
P (0.166, 0.833, 0.332)
Cl (0.168, 0.335, 0.336)
La (0.007, 0.728, 0.014)
Br (0.500, 0.000, 0.000)
La (0.993, 0.272, 0.986)

## Properties
* E_form (uncorrected): -20.14 eV/f.u.
* V: 27.755 Å³/atom
* energy: -71.30 eV/f.u.

=====

Entry 6:
Compound: La4PBr2Cl
Source: Alexandria
Functional: PBE-GGA
Structure: relaxed

a = 4.169 Å, b = 7.117 Å, c = 7.878 Å
α = 108.03°, β = 90.00°, γ = 90.00°
Element x y z (fractional)
Cl (0.000, 0.000, 0.000)
Br (0.000, 0.500, 0.500)
Br (0.500, 0.000, 0.500)
La (0.000, 0.735, 0.215)
La (0.500, 0.244, 0.218)
P (0.500, 0.500, 0.000)
La (0.000, 0.265, 0.785)
La (0.500, 0.756, 0.782)

## Properties
* E_form (uncorrected): -11.95 eV/f.u.
* V: 27.784 Å³/atom
* energy: -42.26 eV/f.u.

=====

Entry 7:
Compound: LaPBrCl2
Source: Alexandria
Functional: PBE-GGA
Structure: relaxed

a = 5.178 Å, b = 5.178 Å, c = 5.124 Å
α = 90.00°, β = 90.00°, γ = 90.00°
Each line ends with the local moment (μB).
Element x y z (fractional)
Cl (0.500, 0.000, 0.000)  0.09
Cl (0.000, 0.500, 0.000)  0.09
La (0.500, 0.500, 0.500)  0.21
P (0.000, 0.000, 0.500)  -0.01
Br (0.000, 0.000, 0.000)  0.21

## Properties
* offset from the most stable computed form: 329 kJ/mol of formula units
* E_form (uncorrected): -0.80 eV/f.u.
* V: 27.471 Å³/atom
* energy: -16.50 eV/f.u.

=====

Entry 8:
Compound: La4Pt2BrCl
Source: Alexandria
Functional: PBE-GGA
Structure: relaxed

a = 4.305 Å, b = 8.091 Å, c = 7.376 Å
α = 72.42°, β = 90.00°, γ = 90.00°
Element x y z (fractional)
Cl (0.000, 0.500, 0.500)
Pt (0.000, 0.000, 0.000)
La (0.500, 0.204, 0.761)
Pt (0.500, 0.000, 0.500)
Br (0.500, 0.500, 0.000)
La (0.000, 0.797, 0.735)
La (0.000, 0.203, 0.265)
La (0.500, 0.796, 0.239)

## Properties
* E_form (uncorrected): -11.13 eV/f.u.
* V: 30.617 Å³/atom
* energy: -46.45 eV/f.u.

=====

Entry 9:
Compound: La8Pt3BrCl4
Source: Alexandria
Functional: PBE-GGA
Structure: relaxed

a = 8.568 Å, b = 8.637 Å, c = 8.569 Å
α = 119.73°, β = 120.00°, γ = 90.00°
Element x y z (fractional)
La (0.265, 0.257, 0.011)
La (0.746, 0.257, 0.492)
La (0.735, 0.743, 0.989)
Cl (0.000, 0.000, 0.000)
Pt (0.500, 0.500, 0.500)
La (0.262, 0.285, 0.523)
Pt (0.500, 0.500, 0.000)
Pt (0.000, 0.500, 0.500)
La (0.254, 0.743, 0.989)
Cl (0.500, 0.000, 0.500)
Cl (0.500, 0.000, 0.000)
La (0.738, 0.715, 0.477)
Br (0.000, 0.500, 0.000)
La (0.254, 0.743, 0.508)
La (0.746, 0.257, 0.011)
Cl (0.000, 0.000, 0.500)

## Properties
* E_form (uncorrected): -22.72 eV/f.u.
* V: 28.138 Å³/atom
* energy: -89.32 eV/f.u.

=====

Entry 10:
Compound: La4PtBr2Cl
Source: Alexandria
Functional: PBE-GGA
Structure: relaxed

a = 4.170 Å, b = 8.023 Å, c = 7.299 Å
α = 71.30°, β = 90.00°, γ = 90.00°
Element x y z (fractional)
Br (0.000, 0.000, 0.000)
La (0.000, 0.715, 0.768)
Br (0.500, 0.000, 0.500)
La (0.000, 0.285, 0.232)
Cl (0.000, 0.500, 0.500)
Pt (0.500, 0.500, 0.000)
La (0.500, 0.277, 0.736)
La (0.500, 0.723, 0.264)

## Properties
* E_form (uncorrected): -10.90 eV/f.u.
* V: 28.913 Å³/atom
* energy: -41.84 eV/f.u.

=====

Entry 11:
Compound: RbLaBr2Cl
Source: Alexandria
Functional: PBE-GGA
Structure: relaxed

a = 5.965 Å, b = 5.965 Å, c = 5.620 Å
α = 90.00°, β = 90.00°, γ = 90.00°
Each line ends with the local moment (μB).
Element x y z (fractional)
Cl (0.000, 0.000, 0.500)  -0.01
Br (0.000, 0.500, 0.000)  0.00
Rb (0.500, 0.500, 0.500)  0.00
La (0.000, 0.000, 0.000)  0.38
Br (0.500, 0.000, 0.000)  0.00

## Properties
* E_form (uncorrected): -8.68 eV/f.u.
* V: 39.986 Å³/atom
* energy: -19.77 eV/f.u.

=====

Entry 12:
Compound: Rb2LaBrCl6
Source: Alexandria
Functional: PBE-GGA
Structure: relaxed

a = 8.797 Å, b = 8.797 Å, c = 8.108 Å
α = 57.15°, β = 57.15°, γ = 90.00°
Element x y z (fractional)
Cl (0.780, 0.220, 0.000)
Cl (0.272, 0.272, 0.456)
Br (0.500, 0.500, 0.000)
Cl (0.220, 0.780, 0.000)
Cl (0.220, 0.220, 0.000)
Cl (0.780, 0.780, 0.000)
Cl (0.728, 0.728, 0.544)
Rb (0.250, 0.750, 0.500)
La (0.000, 0.000, 0.000)
Rb (0.750, 0.250, 0.500)

## Properties
* E_form (uncorrected): -16.30 eV/f.u.
* V: 40.248 Å³/atom
* energy: -35.91 eV/f.u.

=====

Entry 13:
Compound: Rb2LaBr6Cl
Source: Alexandria
Functional: PBE-GGA
Structure: relaxed

a = 9.026 Å, b = 9.026 Å, c = 8.344 Å
α = 57.26°, β = 57.26°, γ = 90.00°
Element x y z (fractional)
Br (0.277, 0.277, 0.445)
Br (0.774, 0.226, 0.000)
Rb (0.250, 0.750, 0.500)
Br (0.774, 0.774, 0.000)
Br (0.226, 0.226, 0.000)
La (0.000, 0.000, 0.000)
Br (0.723, 0.723, 0.555)
Cl (0.500, 0.500, 0.000)
Rb (0.750, 0.250, 0.500)
Br (0.226, 0.774, 0.000)

## Properties
* E_form (uncorrected): -13.75 eV/f.u.
* V: 43.787 Å³/atom
* energy: -32.49 eV/f.u.

=====

Entry 14:
Compound: LaReBr2Cl
Source: Alexandria
Functional: PBE-GGA
Structure: relaxed

a = 5.094 Å, b = 4.725 Å, c = 5.094 Å
α = 90.00°, β = 90.00°, γ = 90.00°
Element x y z (fractional)
Br (0.500, 0.000, 0.000)
Re (0.000, 0.000, 0.000)
Cl (0.000, 0.500, 0.000)
Br (0.000, 0.000, 0.500)
La (0.500, 0.500, 0.500)

## Properties
* E_form (uncorrected): 0.05 eV/f.u.
* V: 24.522 Å³/atom
* energy: -22.52 eV/f.u.

=====

Entry 15:
Compound: La4ReBr2Cl
Source: Alexandria
Functional: PBE-GGA
Structure: relaxed

a = 4.206 Å, b = 7.958 Å, c = 7.476 Å
α = 74.01°, β = 90.00°, γ = 90.00°
Element x y z (fractional)
Re (0.000, 0.500, 0.500)
Br (0.500, 0.000, 0.500)
Br (0.000, 0.000, 0.000)
La (0.500, 0.708, 0.282)
La (0.000, 0.709, 0.740)
La (0.500, 0.292, 0.718)
Cl (0.500, 0.500, 0.000)
La (0.000, 0.291, 0.260)

## Properties
* E_form (uncorrected): -7.99 eV/f.u.
* V: 30.069 Å³/atom
* energy: -45.34 eV/f.u.

=====

Entry 16:
Compound: La4RhBr2Cl
Source: Alexandria
Functional: PBE-GGA
Structure: relaxed

a = 4.105 Å, b = 7.940 Å, c = 7.393 Å
α = 71.85°, β = 90.00°, γ = 90.00°
Element x y z (fractional)
Rh (0.500, 0.500, 0.000)
La (0.500, 0.723, 0.259)
Br (0.500, 0.000, 0.500)
La (0.000, 0.289, 0.222)
La (0.500, 0.277, 0.741)
Cl (0.000, 0.500, 0.500)
Br (0.000, 0.000, 0.000)
La (0.000, 0.711, 0.778)

## Properties
* E_form (uncorrected): -10.14 eV/f.u.
* V: 28.620 Å³/atom
* energy: -42.39 eV/f.u.

=====

Entry 17:
Compound: La4RhBrCl2
Source: Alexandria
Functional: PBE-GGA
Structure: relaxed

a = 4.107 Å, b = 7.283 Å, c = 7.805 Å
α = 71.28°, β = 90.00°, γ = 90.00°
Element x y z (fractional)
La (0.500, 0.271, 0.717)
La (0.500, 0.729, 0.283)
La (0.000, 0.762, 0.729)
Cl (0.500, 0.000, 0.500)
La (0.000, 0.238, 0.271)
Rh (0.000, 0.500, 0.500)
Cl (0.000, 0.000, 0.000)
Br (0.500, 0.500, 0.000)

## Properties
* E_form (uncorrected): -10.54 eV/f.u.
* V: 27.639 Å³/atom
* energy: -42.97 eV/f.u.

=====

Entry 18:
Compound: La4RuBrCl2
Source: Alexandria
Functional: PBE-GGA
Structure: relaxed

a = 4.098 Å, b = 7.322 Å, c = 7.863 Å
α = 72.54°, β = 90.00°, γ = 90.00°
Element x y z (fractional)
La (0.500, 0.277, 0.712)
La (0.500, 0.723, 0.288)
La (0.000, 0.245, 0.281)
Br (0.500, 0.500, 0.000)
Ru (0.000, 0.500, 0.500)
Cl (0.000, 0.000, 0.000)
La (0.000, 0.755, 0.719)
Cl (0.500, 0.000, 0.500)

## Properties
* E_form (uncorrected): -9.70 eV/f.u.
* V: 28.132 Å³/atom
* energy: -44.05 eV/f.u.

=====

Entry 19:
Compound: La6Ru2Br3Cl
Source: Alexandria
Functional: PBE-GGA
Structure: relaxed

a = 7.322 Å, b = 7.322 Å, c = 8.252 Å
α = 98.42°, β = 98.42°, γ = 120.00°
Element x y z (fractional)
Br (0.165, 0.835, 0.500)
Ru (0.333, 0.667, 0.000)
Br (0.500, 0.500, 0.500)
Ru (0.667, 0.333, 0.000)
La (0.573, 0.932, 0.799)
La (0.293, 0.293, 0.799)
La (0.707, 0.707, 0.201)
La (0.932, 0.573, 0.799)
La (0.068, 0.427, 0.201)
Cl (0.000, 0.000, 0.000)
Br (0.835, 0.165, 0.500)
La (0.427, 0.068, 0.201)

## Properties
* E_form (uncorrected): -13.63 eV/f.u.
* V: 30.524 Å³/atom
* energy: -68.62 eV/f.u.

=====

Entry 20:
Compound: La2SBrCl
Source: Alexandria
Functional: PBE-GGA
Structure: relaxed

a = 5.612 Å, b = 5.612 Å, c = 5.461 Å
α = 90.00°, β = 90.00°, γ = 90.00°
Element x y z (fractional)
La (0.500, 0.000, 0.000)
La (0.000, 0.500, 0.000)
Cl (0.000, 0.000, 0.500)
S (0.500, 0.500, 0.500)
Br (0.000, 0.000, 0.000)

## Properties
* E_form (uncorrected): -3.04 eV/f.u.
* V: 34.397 Å³/atom
* energy: -20.54 eV/f.u.

=====

Entry 21:
Compound: LaSe2BrCl
Source: Alexandria
Functional: PBE-GGA
Structure: relaxed

a = 5.979 Å, b = 5.979 Å, c = 5.745 Å
α = 90.00°, β = 90.00°, γ = 90.00°
Each line ends with the local moment (μB).
Element x y z (fractional)
Cl (0.500, 0.500, 0.500)  0.46
Se (0.000, 0.500, 0.000)  0.69
La (0.000, 0.000, 0.000)  -0.01
Br (0.000, 0.000, 0.500)  0.06
Se (0.500, 0.000, 0.000)  0.69

## Properties
* offset from the most stable computed form: 0 kJ/mol of formula units
* E_form (uncorrected): -2.66 eV/f.u.
* V: 41.072 Å³/atom
* energy: -18.08 eV/f.u.

=====

Entry 22:
Compound: LaSe2BrCl
Source: Alexandria
Functional: PBE-GGA
Structure: relaxed

a = 5.232 Å, b = 5.232 Å, c = 4.918 Å
α = 90.00°, β = 90.00°, γ = 90.00°
Each line ends with the local moment (μB).
Element x y z (fractional)
La (0.500, 0.500, 0.500)  0.18
Se (0.500, 0.000, 0.000)  -0.01
Br (0.000, 0.000, 0.500)  0.00
Cl (0.000, 0.000, 0.000)  0.00
Se (0.000, 0.500, 0.000)  -0.01

## Properties
* offset from the most stable computed form: 59 kJ/mol of formula units
* E_form (uncorrected): -2.05 eV/f.u.
* V: 26.926 Å³/atom
* energy: -17.47 eV/f.u.

=====

Entry 23:
Compound: La4Se2BrCl
Source: Alexandria
Functional: PBE-GGA
Structure: relaxed

a = 6.059 Å, b = 6.059 Å, c = 7.389 Å
α = 114.08°, β = 114.08°, γ = 90.27°
Element x y z (fractional)
Se (0.187, 0.687, 0.500)
Br (0.928, 0.928, 0.000)
La (0.947, 0.427, 0.000)
Cl (0.446, 0.446, 0.000)
La (0.192, 0.192, 0.509)
La (0.683, 0.683, 0.491)
Se (0.687, 0.187, 0.500)
La (0.427, 0.947, 0.000)

## Properties
* E_form (uncorrected): -13.48 eV/f.u.
* V: 27.660 Å³/atom
* energy: -43.68 eV/f.u.

=====

Entry 24:
Compound: La4SiBr2Cl
Source: Alexandria
Functional: PBE-GGA
Structure: relaxed

a = 4.311 Å, b = 7.250 Å, c = 7.776 Å
α = 109.18°, β = 90.00°, γ = 90.00°
Element x y z (fractional)
La (0.000, 0.742, 0.219)
Cl (0.500, 0.500, 0.000)
La (0.000, 0.258, 0.781)
Br (0.500, 0.000, 0.500)
La (0.500, 0.761, 0.781)
La (0.500, 0.239, 0.219)
Br (0.000, 0.500, 0.500)
Si (0.000, 0.000, 0.000)

## Properties
* E_form (uncorrected): -10.41 eV/f.u.
* V: 28.698 Å³/atom
* energy: -40.74 eV/f.u.